TlInHg2Cl4 | PBE | relaxed Values from VASP.

Structure (Quantum ESPRESSO input):
```
&SYSTEM
  ibrav = 0, nat = 8, ntyp = 4
/
ATOMIC_SPECIES
Cl 35.45 Cl.upf
In 114.82 In.upf
Hg 200.59 Hg.upf
Tl 204.38 Tl.upf
ATOMIC_POSITIONS angstrom
Cl 3.078 4.981 0.538
In 4.827 3.510 1.269
Hg 0.257 2.176 3.228
Tl 0.040 4.098 0.514
Hg -1.778 -0.207 1.875
Cl -3.458 -2.772 4.550
Cl 4.046 1.430 2.140
Cl 6.266 3.084 -0.614
CELL_PARAMETERS angstrom
9.294 0.200 -0.680
0.230 7.277 -0.936
-5.090 -4.319 5.275
```

## Properties
**VASP energy**: -2.418 eV per atom
**ΔE_f (raw)**: -0.781 eV/atom